1.
LiInAg after structural relaxation, computed with GGA-PBE. Values from VASP.

Structure (Quantum ESPRESSO input):
```
&SYSTEM
  ibrav = 0, nat = 3, ntyp = 3
/
ATOMIC_SPECIES
Li 6.94 Li.upf
In 114.82 In.upf
Ag 107.87 Ag.upf
CELL_PARAMETERS angstrom
0.000 3.220 3.220
3.220 0.000 3.220
3.220 3.220 0.000
ATOMIC_POSITIONS crystal
Li 0.000 0.000 0.000
In 0.500 0.500 0.500
Ag 0.750 0.750 0.750
```

Calculated values
- total energy (eV/atom) = -2.57


2.
Th3Bi2Ir after structural relaxation, computed with GGA-PBE. Values from VASP.

Structure (Quantum ESPRESSO input):
```
&SYSTEM
  ibrav = 0, nat = 12, ntyp = 3
/
ATOMIC_SPECIES
Th 232.04 Th.upf
Bi 208.98 Bi.upf
Ir 192.22 Ir.upf
CELL_PARAMETERS angstrom
3.828 -6.535 0.000
3.828 6.535 0.000
-2.582 0.000 7.554
ATOMIC_POSITIONS crystal
Th 0.061 0.429 0.779
Th 0.202 0.202 0.208
Th 0.429 0.061 0.779
Th 0.571 0.939 0.221
Th 0.798 0.798 0.792
Th 0.939 0.571 0.221
Bi 0.000 0.000 0.500
Bi 0.350 0.650 0.500
Bi 0.500 0.500 0.000
Bi 0.650 0.350 0.500
Ir 0.169 0.831 0.000
Ir 0.831 0.169 0.000
```

Calculated values
- total energy (eV/atom) = -7.27


3.
InSnAuS3 after structural relaxation, computed with GGA-PBE. Values from VASP.

Structure (Quantum ESPRESSO input):
```
&SYSTEM
  ibrav = 0, nat = 12, ntyp = 4
/
ATOMIC_SPECIES
In 114.82 In.upf
Sn 118.71 Sn.upf
Au 196.97 Au.upf
S 32.06 S.upf
CELL_PARAMETERS angstrom
1.940 -7.210 0.000
1.940 7.210 0.000
0.000 0.000 10.238
ATOMIC_POSITIONS crystal
In 0.000 0.000 0.000
In 0.000 0.000 0.500
Sn 0.316 0.684 0.750
Sn 0.684 0.316 0.250
Au 0.344 0.656 0.250
Au 0.656 0.344 0.750
S 0.056 0.944 0.250
S 0.376 0.624 0.025
S 0.376 0.624 0.475
S 0.624 0.376 0.525
S 0.624 0.376 0.975
S 0.944 0.056 0.750
```

Calculated values
- total energy (eV/atom) = -4.12